## La6Co2Ge (GGA-PBE)

Data for a relaxed structure of La6Co2Ge.

```
La6Co2Ge
1.0
-4.6395 5.1301 5.2831
4.6395 -5.1301 5.2831
4.6395 5.1301 -5.2831
La Co Ge
12 4 2
direct
0.0306 0.2262 0.8044 La
0.1677 0.2980 0.4657 La
0.1677 0.7020 0.8697 La
0.3391 0.0257 0.6867 La
0.3391 0.6524 0.3133 La
0.4219 0.2262 0.1956 La
0.5781 0.7738 0.8044 La
0.6609 0.3476 0.6867 La
0.6609 0.9743 0.3133 La
0.8323 0.2980 0.1303 La
0.8323 0.7020 0.5343 La
0.9694 0.7738 0.1956 La
0.1486 0.6486 0.5000 Co
0.2724 0.0000 0.2724 Co
0.7276 0.0000 0.7276 Co
0.8514 0.3514 0.5000 Co
0.0000 0.0000 0.0000 Ge
0.5000 0.5000 0.0000 Ge
```

Results
For the total magnetization, the calculation gives 0.0 μB/f.u. Its space group is Immm, No. 71. The energy relative to the elements is -0.2757 eV/atom.